--- 1 ---
## YSb2TeS (PBE)

Data for YSb2TeS after structural relaxation.

abc: 5.226 5.226 5.184
angles: 90.00 90.00 90.00
Element x y z (fractional)
S: 0.000 0.000 0.000
Sb: 0.000 0.500 0.000
Sb: 0.500 0.000 0.000
Y: 0.500 0.500 0.500
Te: 0.000 0.000 0.500

Summary:
Magnetization = 0.0 μB per formula unit
DOS at the Fermi energy = 0.59 states/eV/atom
Symmetry = P4/mmm (123)
Theoretical density = 5.771 g/cm3



--- 2 ---
## YSb2TeS (PBE)

Data for YSb2TeS after structural relaxation.

abc: 5.836 5.836 5.668
angles: 90.00 90.00 90.00
Site moments in Bohr magnetons follow the coordinates.
Element x y z (fractional)
Y: 0.000 0.000 0.000  0.03
Te: 0.000 0.000 0.500  0.04
S: 0.500 0.500 0.500  0.65
Sb: 0.000 0.500 0.000  -0.03
Sb: 0.500 0.000 0.000  -0.03

Summary:
Magnetization = 1.0 μB per formula unit
DOS at the Fermi energy = 1.18 states/eV/atom
Symmetry = P4/mmm (123)
Theoretical density = 4.233 g/cm3



Which structure is the least stable? The one labeled 2.



--- 1 ---
## ZnSb2TeS (PBE)

Data for ZnSb2TeS after structural relaxation.

abc: 5.248 5.248 5.284
angles: 90.00 90.00 90.00
Element x y z (fractional)
Zn: 0.500 0.500 0.500
Te: 0.000 0.000 0.500
Sb: 0.000 0.500 0.000
Sb: 0.500 0.000 0.000
S: 0.000 0.000 0.000

Summary:
Magnetization = 0.0 μB per formula unit
DOS at the Fermi energy = 1.12 states/eV/atom
Symmetry = P4/mmm (123)
Theoretical density = 5.347 g/cm3



--- 2 ---
## ZnSb2TeS (PBE)

Data for ZnSb2TeS after structural relaxation.

abc: 5.279 5.279 5.065
angles: 90.00 90.00 90.00
Element x y z (fractional)
Te: 0.000 0.000 0.500
Zn: 0.000 0.000 0.000
S: 0.500 0.500 0.500
Sb: 0.000 0.500 0.000
Sb: 0.500 0.000 0.000

Summary:
Magnetization = 0.0 μB per formula unit
DOS at the Fermi energy = 1.10 states/eV/atom
Symmetry = P4/mmm (123)
Theoretical density = 5.513 g/cm3



Which structure is the least stable? The one labeled 2.



--- 1 ---
## TiSb3S (PBE)

Data for TiSb3S after structural relaxation.

abc: 5.192 5.192 5.192
angles: 90.00 90.00 90.00
Site moments in Bohr magnetons follow the coordinates.
Element x y z (fractional)
Sb: 0.000 0.000 0.500  -0.01
Sb: 0.500 0.000 0.000  0.00
Sb: 0.000 0.500 0.000  0.00
Ti: 0.000 0.000 0.000  0.18
S: 0.500 0.500 0.500  0.26

Summary:
Magnetization = 0.6 μB per formula unit
DOS at the Fermi energy = 0.83 states/eV/atom
Symmetry = Pm-3m (221)
Theoretical density = 5.282 g/cm3



--- 2 ---
## TiSb3S (PBE)

Data for TiSb3S after structural relaxation.

abc: 5.116 5.116 5.116
angles: 90.00 90.00 90.00
Element x y z (fractional)
Sb: 0.000 0.000 0.500
Sb: 0.500 0.000 0.000
Sb: 0.000 0.500 0.000
S: 0.000 0.000 0.000
Ti: 0.500 0.500 0.500

Summary:
Magnetization = 0.0 μB per formula unit
DOS at the Fermi energy = 1.29 states/eV/atom
Symmetry = Pm-3m (221)
Theoretical density = 5.522 g/cm3



Which structure is the least stable? The one labeled 2.



--- 1 ---
## Ti2SbS (PBE)

Data for Ti2SbS after structural relaxation.

abc: 3.568 3.568 6.814
angles: 74.82 74.82 60.00
Element x y z (fractional)
Ti: 0.268 0.268 0.195
Ti: 0.065 0.065 0.805
Sb: 0.499 0.499 0.503
S: 0.668 0.668 0.997

Summary:
Magnetization = 0.0 μB per formula unit
DOS at the Fermi energy = 0.62 states/eV/atom
Symmetry = R3m (160)
Theoretical density = 5.788 g/cm3



--- 2 ---
## Ti2SbS (PBE)

Data for Ti2SbS after structural relaxation.

abc: 5.795 5.795 7.198
angles: 66.26 66.26 90.00
Site moments in Bohr magnetons follow the coordinates.
Element x y z (fractional)
Sb: 0.750 0.250 0.500  -0.03
Sb: 0.000 0.000 0.000  -0.03
S: 0.500 0.500 0.000  -0.03
S: 0.250 0.750 0.500  -0.03
Ti: 0.180 0.625 0.250  0.47
Ti: 0.375 0.430 0.750  0.50
Ti: 0.570 0.125 0.250  0.49
Ti: 0.875 0.820 0.750  0.50

Summary:
Magnetization = 1.1 μB per formula unit
DOS at the Fermi energy = 1.22 states/eV/atom
Symmetry = I-42d (122)
Theoretical density = 4.171 g/cm3



Which structure is the least stable? The one labeled 2.



--- 1 ---
## Ti2SbS (PBE)

Data for Ti2SbS after structural relaxation.

abc: 3.598 3.598 6.774
angles: 74.60 74.60 60.00
Element x y z (fractional)
Ti: 0.271 0.271 0.188
Ti: 0.729 0.729 0.812
S: 0.000 0.000 0.000
Sb: 0.500 0.500 0.500

Summary:
Magnetization = 0.0 μB per formula unit
DOS at the Fermi energy = 0.75 states/eV/atom
Symmetry = R-3m (166)
Theoretical density = 5.734 g/cm3



--- 2 ---
## Ti2SbS (PBE)

Data for Ti2SbS after structural relaxation.

abc: 4.627 4.627 4.627
angles: 60.00 60.00 60.00
Element x y z (fractional)
Sb: 0.500 0.500 0.500
S: 0.000 0.000 0.000
Ti: 0.250 0.250 0.250
Ti: 0.750 0.750 0.750

Summary:
Magnetization = 0.0 μB per formula unit
DOS at the Fermi energy = 0.81 states/eV/atom
Symmetry = Fm-3m (225)
Theoretical density = 5.917 g/cm3



Which structure is the least stable? The one labeled 2.



--- 1 ---
## TiSbS (PBE)

Data for TiSbS after structural relaxation.

abc: 3.372 3.372 7.043
angles: 90.00 90.00 120.00
Element x y z (fractional)
S: 0.333 0.667 0.566
Sb: 0.000 0.000 0.060
Ti: 0.667 0.333 0.374

Summary:
Magnetization = 0.0 μB per formula unit
DOS at the Fermi energy = 0.65 states/eV/atom
Symmetry = P3m1 (156)
Theoretical density = 4.828 g/cm3



--- 2 ---
## TiSbS (PBE)

Data for TiSbS after structural relaxation.

abc: 6.266 5.544 7.310
angles: 90.00 102.02 90.00
Element x y z (fractional)
Ti: 0.962 0.874 0.311
Ti: 0.038 0.126 0.689
Ti: 0.462 0.626 0.811
Ti: 0.538 0.374 0.189
S: 0.216 0.383 0.937
S: 0.284 0.883 0.563
S: 0.784 0.617 0.063
S: 0.716 0.117 0.437
Sb: 0.782 0.583 0.572
Sb: 0.718 0.083 0.928
Sb: 0.282 0.917 0.072
Sb: 0.218 0.417 0.428

Summary:
Magnetization = 0.0 μB per formula unit
DOS at the Fermi energy = 0.52 states/eV/atom
Symmetry = P2_1/c (14)
Theoretical density = 5.394 g/cm3



Which structure is the least stable? The one labeled 2.